# ScCuPb

A relaxed structure of ScCuPb (PBE-GGA, Alexandria).

a b c (Å): 4.529 5.730 5.729
angles (deg): 74.97 113.28 113.28
Sites, in units of the cell vectors:
Pb (0.402, 0.800, 0.263)
Sc (0.737, 0.894, 0.840)
Cu (0.066, 0.406, 0.986)
Cu (0.067, 0.041, 0.352)
Pb (0.402, 0.317, 0.746)
Sc (0.732, 0.389, 0.335)

ΔE_f = -221 meV/atom
total moment = 0.000 μB per cell
SG = Imm2 (44)

---

# ScCuPb

A relaxed structure of ScCuPb (PBE-GGA, Alexandria).

a b c (Å): 6.942 4.508 7.849
angles (deg): 90.00 90.00 90.00
Sites, in units of the cell vectors:
Cu (0.334, 0.250, 0.080)
Sc (0.501, 0.750, 0.269)
Cu (0.666, 0.750, 0.920)
Sc (0.001, 0.750, 0.231)
Pb (0.247, 0.250, 0.413)
Sc (0.499, 0.250, 0.731)
Cu (0.166, 0.750, 0.580)
Pb (0.753, 0.750, 0.587)
Pb (0.747, 0.250, 0.087)
Pb (0.253, 0.750, 0.913)
Cu (0.834, 0.250, 0.420)
Sc (0.999, 0.250, 0.769)

ΔE_f = -247 meV/atom
total moment = 0.000 μB per cell
SG = Pnma (62)

---

# ScCu3Pb

A relaxed structure of ScCu3Pb (PBE-GGA, Alexandria).

a b c (Å): 4.840 4.840 4.840
angles (deg): 90.00 90.00 90.00
Sites, in units of the cell vectors:
Sc (0.500, 0.500, 0.500)
Pb (0.000, 0.000, 0.000)
Cu (0.000, 0.000, 0.500)
Cu (0.000, 0.500, 0.000)
Cu (0.500, 0.000, 0.000)

ΔE_f = 759 meV/atom
total moment = 0.489 μB per cell
SG = Pm-3m (221)

---

# Sc4CuPb

A relaxed structure of Sc4CuPb (PBE-GGA, Alexandria).

a b c (Å): 5.833 5.833 5.833
angles (deg): 60.00 60.00 60.00
Sites, in units of the cell vectors:
Sc (0.375, 0.375, 0.876)
Sc (0.375, 0.876, 0.375)
Cu (0.750, 0.750, 0.750)
Sc (0.876, 0.375, 0.375)
Sc (0.375, 0.375, 0.375)
Pb (0.000, 0.000, 0.000)

ΔE_f = 312 meV/atom
total moment = 0.001 μB per cell
SG = F-43m (216)

---

# Sc12Cu5Pb

A relaxed structure of Sc12Cu5Pb (PBE-GGA, Alexandria).

a b c (Å): 7.884 7.884 7.884
angles (deg): 106.37 110.69 111.39
Sites, in units of the cell vectors:
Sc (0.294, 0.317, 0.610)
Sc (0.706, 0.683, 0.390)
Cu (0.639, 0.639, 0.000)
Sc (0.903, 0.181, 0.722)
Sc (0.459, 0.181, 0.278)
Sc (0.541, 0.819, 0.722)
Cu (0.500, 0.127, 0.627)
Cu (0.000, 0.000, 0.000)
Cu (0.361, 0.361, 0.000)
Sc (0.294, 0.683, 0.977)
Sc (0.800, 0.026, 0.226)
Sc (0.200, 0.426, 0.226)
Sc (0.097, 0.819, 0.278)
Pb (0.000, 0.500, 0.500)
Sc (0.706, 0.317, 0.023)
Sc (0.800, 0.574, 0.774)
Cu (0.500, 0.873, 0.373)
Sc (0.200, 0.974, 0.774)

ΔE_f = -217 meV/atom
total moment = 0.000 μB per cell
SG = Immm (71)

---

# Sc12Cu6Pb

A relaxed structure of Sc12Cu6Pb (PBE-GGA, Alexandria).

a b c (Å): 7.979 7.979 7.979
angles (deg): 109.47 109.47 109.47
Sites, in units of the cell vectors:
Sc (0.486, 0.191, 0.294)
Sc (0.809, 0.294, 0.103)
Cu (0.500, 0.871, 0.371)
Cu (0.629, 0.500, 0.129)
Cu (0.129, 0.629, 0.500)
Sc (0.897, 0.191, 0.706)
Sc (0.706, 0.897, 0.191)
Sc (0.191, 0.706, 0.897)
Sc (0.809, 0.706, 0.514)
Cu (0.500, 0.129, 0.629)
Sc (0.103, 0.809, 0.294)
Sc (0.706, 0.514, 0.809)
Cu (0.871, 0.371, 0.500)
Sc (0.514, 0.809, 0.706)
Cu (0.371, 0.500, 0.871)
Pb (0.000, 0.000, 0.000)
Sc (0.191, 0.294, 0.486)
Sc (0.294, 0.486, 0.191)
Sc (0.294, 0.103, 0.809)

ΔE_f = -207 meV/atom
total moment = 0.000 μB per cell
SG = Im-3 (204)

---

# ScCuPb

A relaxed structure of ScCuPb (PBE-GGA, Alexandria).

a b c (Å): 4.443 7.577 4.442
angles (deg): 90.00 120.00 89.99
Sites, in units of the cell vectors:
Sc (0.651, 0.142, 0.512)
Pb (0.318, 0.941, 0.846)
Pb (0.985, 0.363, 0.179)
Cu (0.651, 0.542, 0.512)
Sc (0.984, 0.756, 0.179)
Cu (0.318, 0.557, 0.845)

ΔE_f = -134 meV/atom
total moment = 0.000 μB per cell
SG = P3m1 (156)

---

# ScCuPb4

A relaxed structure of ScCuPb4 (PBE-GGA, Alexandria).

a b c (Å): 6.330 6.330 6.330
angles (deg): 60.00 60.00 60.00
Sites, in units of the cell vectors:
Sc (0.750, 0.750, 0.750)
Pb (0.873, 0.376, 0.376)
Pb (0.376, 0.376, 0.376)
Pb (0.376, 0.873, 0.376)
Pb (0.376, 0.376, 0.873)
Cu (0.000, 0.000, 0.000)

ΔE_f = 435 meV/atom
total moment = 0.000 μB per cell
SG = F-43m (216)

---

# ScCuPb

A relaxed structure of ScCuPb (PBE-GGA, Alexandria).

a b c (Å): 4.326 4.326 6.947
angles (deg): 90.00 90.00 90.00
Sites, in units of the cell vectors:
Pb (0.500, 0.000, 0.853)
Pb (0.000, 0.500, 0.147)
Cu (0.000, 0.500, 0.751)
Sc (0.500, 0.500, 0.500)
Cu (0.500, 0.000, 0.249)
Sc (0.000, 0.000, 0.500)

ΔE_f = -73 meV/atom
total moment = 0.003 μB per cell
SG = P4/nmm (129)

---

# ScCuPb

A relaxed structure of ScCuPb (PBE-GGA, Alexandria).

a b c (Å): 6.102 4.108 10.037
angles (deg): 90.00 90.00 90.00
Sites, in units of the cell vectors:
Sc (0.854, 0.250, 0.413)
Pb (0.639, 0.750, 0.609)
Pb (0.861, 0.250, 0.109)
Cu (0.579, 0.750, 0.214)
Sc (0.146, 0.750, 0.587)
Pb (0.139, 0.750, 0.891)
Pb (0.361, 0.250, 0.391)
Cu (0.421, 0.250, 0.786)
Cu (0.921, 0.250, 0.714)
Sc (0.646, 0.750, 0.913)
Sc (0.354, 0.250, 0.087)
Cu (0.079, 0.750, 0.286)

ΔE_f = -102 meV/atom
total moment = 0.000 μB per cell
SG = Pnma (62)

---

# ScCuPb

A relaxed structure of ScCuPb (PBE-GGA, Alexandria).

a b c (Å): 5.140 5.140 5.140
angles (deg): 140.74 131.11 64.42
Sites, in units of the cell vectors:
Sc (0.663, 0.663, 0.000)
Pb (0.331, 0.331, 0.000)
Cu (0.006, 0.006, 0.000)

ΔE_f = 7 meV/atom
total moment = 0.002 μB per cell
SG = Imm2 (44)

---

# Sc3CuPb3Se8

A relaxed structure of Sc3CuPb3Se8 (PBE-GGA, Alexandria).

a b c (Å): 7.975 7.975 8.420
angles (deg): 118.24 90.00 120.00
Sites, in units of the cell vectors:
Se (0.235, 0.973, 0.708)
Pb (0.000, 0.500, 0.000)
Se (0.738, 0.973, 0.708)
Cu (0.000, 0.000, 0.500)
Sc (0.000, 0.500, 0.500)
Se (0.765, 0.027, 0.292)
Se (0.739, 0.477, 0.716)
Se (0.766, 0.531, 0.293)
Se (0.234, 0.469, 0.707)
Se (0.262, 0.027, 0.292)
Pb (0.500, 0.500, 0.000)
Se (0.261, 0.523, 0.284)
Sc (0.500, 0.500, 0.500)
Pb (0.000, 0.000, 0.000)
Sc (0.500, 0.000, 0.500)

total moment = 0.000 μB per cell
SG = R-3m (166)
uncorrected formation energy = -0.948 eV/atom

---

# SmScCuPb

A relaxed structure of SmScCuPb (PBE-GGA, Alexandria).

a b c (Å): 5.125 5.125 5.125
angles (deg): 60.00 60.00 60.00
Sites, in units of the cell vectors:
Sm (0.000, 0.000, 0.000)
Sc (0.500, 0.500, 0.500)
Pb (0.750, 0.750, 0.750)
Cu (0.250, 0.250, 0.250)

ΔE_f = -263 meV/atom
total moment = 0.645 μB per cell
SG = F-43m (216)

---

# TbScCuPb

A relaxed structure of TbScCuPb (PBE-GGA, Alexandria).

a b c (Å): 5.074 5.074 5.074
angles (deg): 60.00 60.00 60.00
Sites, in units of the cell vectors:
Pb (0.750, 0.750, 0.750)
Sc (0.500, 0.500, 0.500)
Cu (0.250, 0.250, 0.250)
Tb (0.000, 0.000, 0.000)

ΔE_f = -272 meV/atom
total moment = 0.630 μB per cell
SG = F-43m (216)

---

# YScCuPb2

A relaxed structure of YScCuPb2 (PBE-GGA, Alexandria).

a b c (Å): 5.545 5.324 5.545
angles (deg): 90.00 90.00 90.00
Sites, in units of the cell vectors:
Cu (0.500, 0.500, 0.500)
Pb (0.000, 0.000, 0.500)
Y (0.000, 0.500, 0.000)
Pb (0.500, 0.000, 0.000)
Sc (0.000, 0.000, 0.000)

ΔE_f = 725 meV/atom
total moment = 0.000 μB per cell
SG = P4/mmm (123)

---

# ScZnCu2Pb

A relaxed structure of ScZnCu2Pb (PBE-GGA, Alexandria).

a b c (Å): 4.923 4.923 5.185
angles (deg): 90.00 90.00 90.00
Sites, in units of the cell vectors:
Cu (0.500, 0.000, 0.000)
Zn (0.000, 0.000, 0.500)
Cu (0.000, 0.500, 0.000)
Pb (0.000, 0.000, 0.000)
Sc (0.500, 0.500, 0.500)

ΔE_f = 766 meV/atom
total moment = 0.664 μB per cell
SG = P4/mmm (123)

---

# ScZnCu2Pb

A relaxed structure of ScZnCu2Pb (PBE-GGA, Alexandria).

a b c (Å): 4.519 5.203 4.519
angles (deg): 90.00 90.00 90.00
Sites, in units of the cell vectors:
Pb (0.000, 0.500, 0.000)
Cu (0.500, 0.000, 0.000)
Sc (0.500, 0.500, 0.500)
Zn (0.000, 0.000, 0.000)
Cu (0.000, 0.000, 0.500)

ΔE_f = 373 meV/atom
total moment = 0.000 μB per cell
SG = P4/mmm (123)

---

# ScZnCuPb2

A relaxed structure of ScZnCuPb2 (PBE-GGA, Alexandria).

a b c (Å): 5.236 4.580 5.236
angles (deg): 90.00 90.00 90.00
Sites, in units of the cell vectors:
Pb (0.500, 0.000, 0.000)
Cu (0.000, 0.000, 0.000)
Pb (0.000, 0.000, 0.500)
Zn (0.000, 0.500, 0.000)
Sc (0.500, 0.500, 0.500)

ΔE_f = 253 meV/atom
total moment = 0.000 μB per cell
SG = P4/mmm (123)

---

# ZrScCuPb

A relaxed structure of ZrScCuPb (PBE-GGA, Alexandria).

a b c (Å): 4.897 4.897 4.897
angles (deg): 60.00 60.00 60.00
Sites, in units of the cell vectors:
Zr (0.500, 0.500, 0.500)
Cu (0.250, 0.250, 0.250)
Sc (0.000, 0.000, 0.000)
Pb (0.750, 0.750, 0.750)

ΔE_f = -136 meV/atom
total moment = 0.000 μB per cell
SG = F-43m (216)

---

# CuPbSe

A relaxed structure of CuPbSe (PBE-GGA, Alexandria).

a b c (Å): 6.294 6.296 3.490
angles (deg): 73.88 73.93 32.19
Sites, in units of the cell vectors:
Se (0.596, 0.596, 0.404)
Pb (0.341, 0.341, 0.659)
Cu (0.063, 0.063, 0.937)

total moment = 0.000 μB per cell
SG = Fmm2 (42)
uncorrected formation energy = 0.017 eV/atom

---

# CuPb2Se2

A relaxed structure of CuPb2Se2 (PBE-GGA, Alexandria).

a b c (Å): 7.184 7.184 4.941
angles (deg): 90.00 90.00 90.00
Sites, in units of the cell vectors:
Cu (0.000, 0.000, 0.000)
Se (0.185, 0.315, 0.000)
Se (0.315, 0.815, 0.000)
Cu (0.500, 0.500, 0.000)
Se (0.815, 0.685, 0.000)
Pb (0.661, 0.839, 0.500)
Se (0.685, 0.185, 0.000)
Pb (0.161, 0.661, 0.500)
Pb (0.339, 0.161, 0.500)
Pb (0.839, 0.339, 0.500)

total moment = 0.000 μB per cell
SG = P4/mbm (127)
uncorrected formation energy = -0.062 eV/atom

---

# CuPb2Se

A relaxed structure of CuPb2Se (PBE-GGA, Alexandria).

a b c (Å): 4.232 4.231 5.932
angles (deg): 90.00 90.00 90.00
Sites, in units of the cell vectors:
Pb (0.500, 0.500, 0.375)
Pb (0.000, 0.000, 0.875)
Se (0.000, 0.000, 0.375)
Cu (0.500, 0.500, 0.875)

total moment = 0.000 μB per cell
SG = P4/mmm (123)
uncorrected formation energy = -0.039 eV/atom

---

# CuPb2Se

A relaxed structure of CuPb2Se (PBE-GGA, Alexandria).

a b c (Å): 6.515 6.515 4.218
angles (deg): 109.17 109.17 37.73
Sites, in units of the cell vectors:
Se (0.469, 0.469, 0.468)
Cu (0.262, 0.262, 0.262)
Pb (0.030, 0.030, 0.029)
Pb (0.739, 0.739, 0.741)

total moment = 0.000 μB per cell
SG = Cm (8)
uncorrected formation energy = -0.074 eV/atom

---

# CuPbSe

A relaxed structure of CuPbSe (PBE-GGA, Alexandria).

a b c (Å): 4.643 4.643 4.643
angles (deg): 60.00 60.00 60.00
Sites, in units of the cell vectors:
Cu (0.750, 0.750, 0.750)
Se (0.500, 0.500, 0.500)
Pb (0.000, 0.000, 0.000)

total moment = 0.000 μB per cell
SG = F-43m (216)
uncorrected formation energy = 0.004 eV/atom

---

# CuPb2Se

A relaxed structure of CuPb2Se (PBE-GGA, Alexandria).

a b c (Å): 5.159 5.159 3.718
angles (deg): 90.00 90.00 95.11
Sites, in units of the cell vectors:
Pb (0.500, 0.500, 0.000)
Se (0.500, 0.000, 0.500)
Pb (0.000, 0.000, 0.000)
Cu (0.000, 0.500, 0.500)

total moment = 0.000 μB per cell
SG = Cmmm (65)
uncorrected formation energy = 0.087 eV/atom

---

# Cu4PbSe

A relaxed structure of Cu4PbSe (PBE-GGA, Alexandria).

a b c (Å): 5.178 5.178 5.178
angles (deg): 60.00 60.00 60.00
Sites, in units of the cell vectors:
Pb (0.250, 0.250, 0.250)
Cu (0.625, 0.625, 0.625)
Cu (0.125, 0.625, 0.625)
Cu (0.625, 0.125, 0.625)
Se (0.000, 0.000, 0.000)
Cu (0.625, 0.625, 0.125)

total moment = 0.000 μB per cell
SG = F-43m (216)
uncorrected formation energy = 0.168 eV/atom